VASP calculation (PBE) on ReRhN3 after structural relaxation.

Calculated values
* DFT total energy: -34.3 eV/f.u.
* formation energy without anion corrections: 2.10 eV per atom
* SG: Pm-3m
* DOS(E_F): 4.5 states/eV per cell

```
ReRhN3
1.0
3.803 0.000 0.000
0.000 3.803 0.000
0.000 0.000 3.803
Re Rh N
1 1 3
direct
0.000 0.000 0.000
0.500 0.500 0.500
0.000 0.500 0.500
0.500 0.000 0.500
0.500 0.500 0.000
```



VASP calculation (PBE) on ReRhSN2 after structural relaxation.

Calculated values
* DFT total energy: -31.9 eV/f.u.
* formation energy without anion corrections: 1.73 eV per atom
* SG: P4/mmm
* DOS(E_F): 4.8 states/eV per cell

```
ReRhSN2
1.0
3.749 0.000 0.000
0.000 3.749 0.000
0.000 0.000 5.305
Re Rh S N
1 1 1 2
direct
0.000 0.000 0.000
0.500 0.500 0.500
0.500 0.500 0.000
0.000 0.500 0.500
0.500 0.000 0.500
```